Here is a relaxed structure of Pr2Ga6Os from the Alexandria database. Energies are from PBE.

calculated volume	20.00	Å³ per atom
VASP energy	-4.7842	eV per atom
formation enthalpy at 0 K	-0.456	eV/atom
density	8.21	g/cm3

a = 5.6009 Å, b = 6.0917 Å, c = 6.0917 Å
α = 60.02°, β = 89.98°, γ = 89.98°
Closest atoms and distances in Å follow each position.
Element x y z (fractional)
Ga 0.3156 0.8274 0.8274  1 Os 2.54, 2 Ga 2.75
Ga 0.3158 0.3447 0.8277  1 Os 2.54, 2 Ga 2.75
Ga 0.6842 0.6553 0.1723  1 Os 2.54, 2 Ga 2.75
Ga 0.3158 0.8277 0.3447  1 Os 2.54, 2 Ga 2.75
Ga 0.6842 0.1723 0.6553  1 Os 2.54, 2 Ga 2.75
Ga 0.6844 0.1726 0.1726  1 Os 2.54, 2 Ga 2.75
Pr 0.1930 0.3334 0.3334  12 Ga 3.12-3.32
Pr 0.8070 0.6666 0.6666  12 Ga 3.12-3.32
Os 0.0000 0.0000 0.0000  6 Ga 2.54